No. 1
VASP calculation (GGA-PBE) on an optimized crystal structure of LaTb.

a = 4.6587 Å, b = 4.6587 Å, c = 4.6587 Å
α = 60.00°, β = 60.00°, γ = 60.00°
Sites, in units of the cell vectors:
La 0.0000 0.0000 0.0000
Tb 0.2500 0.2500 0.2500

Results
space group	F-43m, No. 216
polymorph energy (0 for the lowest one)	1524	meV per atom
total moment	0.008	μB per formula unit
formation energy	1.57	eV per atom

---

No. 2
VASP calculation (GGA-PBE) on an optimized crystal structure of NiAg2PbS4.

a = 10.2181 Å, b = 6.0157 Å, c = 6.0157 Å
α = 112.26°, β = 90.00°, γ = 90.00°
Each line ends with the local moment (μB).
Sites, in units of the cell vectors:
Ag 0.6042 0.6210 0.3799  0.03
Ag 0.8958 0.6210 0.3799  0.03
Ag 0.1042 0.3799 0.6210  0.02
Ag 0.3958 0.3799 0.6210  0.02
Ni 0.2500 0.7039 0.3146  1.02
Ni 0.7500 0.3146 0.7039  1.04
Pb 0.0000 0.9906 0.9906  0.03
Pb 0.5000 0.9906 0.9906  0.03
S 0.2500 0.3279 0.2720  0.10
S 0.7500 0.2720 0.3279  0.10
S 0.0761 0.9153 0.4913  0.13
S 0.4239 0.9153 0.4913  0.13
S 0.7500 0.9550 0.7206  0.18
S 0.5761 0.4913 0.9153  0.13
S 0.9239 0.4913 0.9153  0.12
S 0.2500 0.7206 0.9550  0.15

Results
space group	Ama2, No. 40
energy	-4.006	eV/atom
total moment	1.988	μB per formula unit

---

Among the records above, which one has the lowest total moment? LaTb